No. 1
Entry from the Alexandria database: a geometry-optimized Cu3Pd12Pt structure (PBE).

Calculated values
For the formation enthalpy at 0 K, the calculation gives -1.08 kcal/mol of atoms. As for the total energy: -5.087 eV per atom.

abc: 3.901 3.901 15.638
angles: 90.00 90.00 90.00
Space group P4/mmm (No. 123)
Inequivalent atoms, fractional coordinates:
Cu 0.000 0.000 0.000 (multiplicity 1)
Cu 0.000 0.000 0.247 (multiplicity 2)
Pd 0.000 0.500 0.123 (multiplicity 4)
Pd 0.000 0.500 0.370 (multiplicity 4)
Pd 0.500 0.500 0.000 (multiplicity 1)
Pd 0.500 0.500 0.247 (multiplicity 2)
Pd 0.500 0.500 0.500 (multiplicity 1)
Pt 0.000 0.000 0.500 (multiplicity 1)

No. 2
Entry from the Alexandria database: a geometry-optimized La2Al3Ga4 structure (PBE).

Calculated values
For the formation enthalpy at 0 K, the calculation gives -11.06 kcal/mol of atoms. As for the total energy: -4.167 eV per atom.

abc: 5.963 15.734 8.067
angles: 90.00 90.00 90.00
Space group Cmce (No. 64)
Inequivalent atoms, fractional coordinates:
La 0.000 0.114 0.086 (multiplicity 8)
Al 0.000 0.000 0.500 (multiplicity 4)
Al 0.250 0.219 0.750 (multiplicity 8)
Ga 0.000 0.182 0.467 (multiplicity 8)
Ga 0.250 0.054 0.750 (multiplicity 8)

No. 3
Entry from the Alexandria database: a geometry-optimized ZnSe3 structure (PBE).

Calculated values
As for the total energy: -2.508 eV per atom.

abc: 6.824 6.824 6.824
angles: 90.00 90.00 90.00
Space group Fm-3m (No. 225)
Inequivalent atoms, fractional coordinates:
Zn 0.000 0.000 0.000 (multiplicity 4)
Se 0.000 0.000 0.500 (multiplicity 4)
Se 0.250 0.250 0.250 (multiplicity 8)

No. 4
Entry from the Alexandria database: a geometry-optimized Os2PtCF structure (PBE).

Calculated values
As for the total energy: -5.184 eV per atom.

abc: 4.017 4.017 4.658
angles: 90.00 90.00 90.00
Space group P4/mmm (No. 123)
Inequivalent atoms, fractional coordinates:
Os 0.000 0.500 0.000 (multiplicity 2)
Pt 0.000 0.000 0.500 (multiplicity 1)
C 0.500 0.500 0.500 (multiplicity 1)
F 0.000 0.000 0.000 (multiplicity 1)

No. 5
Entry from the Alexandria database: a geometry-optimized CrPdS2Cl structure (PBE).

Calculated values
For the energy above the lowest structure with this stoichiometry, the calculation gives 0.0 meV/atom. As for the total energy: -4.806 eV per atom.

abc: 4.537 4.537 4.729
angles: 90.00 90.00 90.00
Space group P4/mmm (No. 123)
Inequivalent atoms, fractional coordinates:
Cr 0.000 0.000 0.000 (multiplicity 1)
Pd 0.500 0.500 0.500 (multiplicity 1)
S 0.000 0.500 0.000 (multiplicity 2)
Cl 0.000 0.000 0.500 (multiplicity 1)

No. 6
Entry from the Alexandria database: a geometry-optimized MgGa2H2 structure (PBE).

Calculated values
As for the total energy: -2.765 eV per atom.

abc: 5.461 5.461 4.464
angles: 90.00 90.00 90.00
Space group P4/mbm (No. 127)
Inequivalent atoms, fractional coordinates:
Mg 0.000 0.000 0.000 (multiplicity 2)
Ga 0.183 0.317 0.500 (multiplicity 4)
H 0.188 0.312 0.000 (multiplicity 4)

No. 7
Entry from the Alexandria database: a geometry-optimized Hf11Zn9Fe4 structure (PBE).

Calculated values
For the formation enthalpy at 0 K, the calculation gives -5.58 kcal/mol of atoms. As for the total energy: -6.692 eV per atom.

abc: 13.089 19.660 3.203
angles: 90.00 90.00 90.00
Space group Cmmm (No. 65)
Inequivalent atoms, fractional coordinates:
Hf 0.000 0.000 0.000 (multiplicity 2)
Hf 0.000 0.160 0.000 (multiplicity 4)
Hf 0.000 0.370 0.000 (multiplicity 4)
Hf 0.195 0.500 0.000 (multiplicity 4)
Hf 0.244 0.170 0.000 (multiplicity 8)
Zn 0.000 0.500 0.500 (multiplicity 2)
Zn 0.104 0.262 0.500 (multiplicity 8)
Zn 0.145 0.070 0.500 (multiplicity 8)
Fe 0.151 0.399 0.500 (multiplicity 8)

No. 8
Entry from the Alexandria database: a geometry-optimized Mg4TcMo2 structure (PBE).

Calculated values
For the formation enthalpy at 0 K, the calculation gives 25.11 kcal/mol of atoms. As for the total energy: -4.398 eV per atom.

abc: 5.095 5.095 13.244
angles: 90.00 90.00 90.00
Space group I4/mmm (No. 139)
Inequivalent atoms, fractional coordinates:
Mg 0.000 0.000 0.194 (multiplicity 4)
Mg 0.000 0.500 0.000 (multiplicity 4)
Tc 0.000 0.000 0.000 (multiplicity 2)
Mo 0.000 0.000 0.420 (multiplicity 4)

No. 9
Entry from the Alexandria database: a geometry-optimized YTmSb2 structure (PBE).

Calculated values
For the energy above the lowest structure with this stoichiometry, the calculation gives 57.1 meV/atom. As for the total energy: -5.854 eV per atom.

abc: 4.3410 4.3410 7.4206
angles: 90.00 90.00 120.00
Space group P-3m1 (No. 164)
Inequivalent atoms, fractional coordinates:
Y 0.0000 0.0000 0.0000 (multiplicity 1)
Tm 0.0000 0.0000 0.5000 (multiplicity 1)
Sb 0.3333 0.6667 0.7460 (multiplicity 2)

No. 10
Entry from the Alexandria database: a geometry-optimized NaMgPdAu structure (PBE).

Calculated values
For the formation enthalpy at 0 K, the calculation gives -8.21 kcal/mol of atoms. As for the total energy: -3.202 eV per atom.

abc: 6.604 6.604 6.604
angles: 90.00 90.00 90.00
Space group F-43m (No. 216)
Inequivalent atoms, fractional coordinates:
Na 0.000 0.000 0.000 (multiplicity 4)
Mg 0.000 0.000 0.500 (multiplicity 4)
Pd 0.250 0.250 0.750 (multiplicity 4)
Au 0.250 0.250 0.250 (multiplicity 4)

No. 11
Entry from the Alexandria database: a geometry-optimized KSb2Br structure (PBE).

Calculated values
For the energy above the lowest structure with this stoichiometry, the calculation gives 831.1 meV/atom. As for the total energy: -2.592 eV per atom.

abc: 3.5970 3.5970 32.7411
angles: 90.00 90.00 120.00
Space group R-3m (No. 166, hexagonal axes)
Inequivalent atoms, fractional coordinates:
K 0.0000 0.0000 0.0000 (multiplicity 3)
Sb 0.0000 0.0000 0.2405 (multiplicity 6)
Br 0.0000 0.0000 0.5000 (multiplicity 3)

No. 12
Entry from the Alexandria database: a geometry-optimized B2PdI structure (PBE).

Calculated values
For the energy above the lowest structure with this stoichiometry, the calculation gives 850.9 meV/atom. As for the total energy: -3.177 eV per atom.

abc: 6.153 6.153 6.153
angles: 90.00 90.00 90.00
Space group Fm-3m (No. 225)
Inequivalent atoms, fractional coordinates:
B 0.250 0.250 0.250 (multiplicity 8)
Pd 0.000 0.000 0.000 (multiplicity 4)
I 0.000 0.000 0.500 (multiplicity 4)

No. 13
Entry from the Alexandria database: a geometry-optimized Cu2Ag2Te2Se structure (PBE).

Calculated values
As for the total energy: -3.357 eV per atom.

abc: 11.621 4.290 7.585
angles: 90.00 127.67 90.00
Space group C2/m (No. 12)
Inequivalent atoms, fractional coordinates:
Cu 0.226 0.000 0.393 (multiplicity 4)
Ag 0.047 0.500 0.822 (multiplicity 4)
Te 0.163 0.000 0.678 (multiplicity 4)
Se 0.000 0.000 0.000 (multiplicity 2)

No. 14
Entry from the Alexandria database: a geometry-optimized Tb4Tm5Tl2 structure (PBE).

Calculated values
For the formation enthalpy at 0 K, the calculation gives 2.44 kcal/mol of atoms. As for the total energy: -4.040 eV per atom.

abc: 22.338 3.552 9.172
angles: 90.00 105.66 90.00
Space group C2/m (No. 12)
Inequivalent atoms, fractional coordinates:
Tb 0.019 0.000 0.314 (multiplicity 4)
Tb 0.103 0.500 0.617 (multiplicity 4)
Tm 0.000 0.500 0.000 (multiplicity 2)
Tm 0.127 0.000 0.958 (multiplicity 4)
Tm 0.180 0.000 0.385 (multiplicity 4)
Tl 0.236 0.500 0.830 (multiplicity 4)

No. 15
Entry from the Alexandria database: a geometry-optimized Zr2InN structure (PBE).

Calculated values
As for the total energy: -8.077 eV per atom.

abc: 5.716 3.303 7.777
angles: 90.00 104.28 90.00
Space group C2/m (No. 12)
Inequivalent atoms, fractional coordinates:
Zr 0.223 0.000 0.167 (multiplicity 4)
In 0.000 0.000 0.500 (multiplicity 2)
N 0.000 0.500 0.000 (multiplicity 2)

No. 16
Entry from the Alexandria database: a geometry-optimized Te2WBr structure (PBE).

Calculated values
For the energy above the lowest structure with this stoichiometry, the calculation gives 707.5 meV/atom. As for the total energy: -4.449 eV per atom.

abc: 7.147 7.147 7.147
angles: 90.00 90.00 90.00
Space group Fm-3m (No. 225)
Inequivalent atoms, fractional coordinates:
Te 0.250 0.250 0.250 (multiplicity 8)
W 0.000 0.000 0.000 (multiplicity 4)
Br 0.000 0.000 0.500 (multiplicity 4)

No. 17
Entry from the Alexandria database: a geometry-optimized HfZn2Au2 structure (PBE).

Calculated values
For the energy above the lowest structure with this stoichiometry, the calculation gives 152.6 meV/atom. For the formation enthalpy at 0 K, the calculation gives -2.08 kcal/mol of atoms. As for the total energy: -3.902 eV per atom.

abc: 5.883 7.342 4.995
angles: 90.00 120.71 90.00
Space group C2/m (No. 12)
Inequivalent atoms, fractional coordinates:
Hf 0.000 0.000 0.000 (multiplicity 2)
Zn 0.071 0.500 0.271 (multiplicity 4)
Au 0.000 0.203 0.500 (multiplicity 4)

No. 18
Entry from the Alexandria database: a geometry-optimized MnCoIr structure (PBE).

Calculated values
For the energy above the lowest structure with this stoichiometry, the calculation gives 0.0 meV/atom. For the formation enthalpy at 0 K, the calculation gives -1.41 kcal/mol of atoms. As for the total energy: -8.440 eV per atom.

abc: 2.655 3.618 7.781
angles: 90.00 90.00 90.00
Space group Imm2 (No. 44)
Inequivalent atoms, fractional coordinates:
Mn 0.000 0.000 0.000 (multiplicity 2)
Co 0.000 0.000 0.666 (multiplicity 2)
Ir 0.000 0.000 0.332 (multiplicity 2)

No. 19
Entry from the Alexandria database: a geometry-optimized CsSrTaSe4 structure (PBE).

Calculated values
As for the total energy: -5.363 eV per atom.

abc: 7.258 7.370 9.980
angles: 90.00 107.72 90.00
Space group P2_1/m (No. 11)
Inequivalent atoms, fractional coordinates:
Cs 0.228 0.250 0.434 (multiplicity 2)
Sr 0.271 0.250 0.954 (multiplicity 2)
Ta 0.288 0.750 0.174 (multiplicity 2)
Se 0.088 0.750 0.327 (multiplicity 2)
Se 0.094 0.750 0.932 (multiplicity 2)
Se 0.495 0.507 0.784 (multiplicity 4)

No. 20
Entry from the Alexandria database: a geometry-optimized Y4GeSe3 structure (PBE).

Calculated values
As for the total energy: -6.753 eV per atom.

abc: 8.247 11.655 4.112
angles: 90.00 90.00 90.00
Space group Cmmm (No. 65)
Inequivalent atoms, fractional coordinates:
Y 0.000 0.243 0.000 (multiplicity 4)
Y 0.239 0.000 0.500 (multiplicity 4)
Ge 0.000 0.000 0.000 (multiplicity 2)
Se 0.000 0.500 0.000 (multiplicity 2)
Se 0.250 0.250 0.500 (multiplicity 4)

| no. | magnetization (μB per atom) |
| --- | --- |
| 1 | 0.001 |
| 2 | 0.000 |
| 3 | 0.000 |
| 4 | 0.000 |
| 5 | 0.275 |
| 6 | 0.000 |
| 7 | 0.006 |
| 8 | 0.071 |
| 9 | 0.000 |
| 10 | 0.000 |
| 11 | 0.000 |
| 12 | 0.000 |
| 13 | 0.000 |
| 14 | 0.000 |
| 15 | 0.000 |
| 16 | 0.473 |
| 17 | 0.000 |
| 18 | 0.200 |
| 19 | 0.000 |
| 20 | 0.000 |